1.
Below is an optimized crystal structure of Er3MnC, with properties calculated at the PBE level.

abc: 4.8497 4.8497 4.8497
angles: 90.00 90.00 90.00
With the nearest neighbours (Å) after each atom.
Space group Pm-3m (No. 221)
Symmetry-distinct sites (fractional):
Er  0.0000  0.0000  0.5000  2 C 2.42
Mn  0.5000  0.5000  0.5000  12 Er 3.43
C  0.0000  0.0000  0.0000  6 Er 2.42

Summary:
The crystal system is cubic. As for the energy relative to the elements: 0.021 eV per atom.

---

2.
Below is an optimized crystal structure of Li2Hg3Pd7, with properties calculated at the PBE level.

abc: 5.7907 7.7690 17.4593
angles: 90.00 90.00 90.00
With the nearest neighbours (Å) after each atom.
Space group Fmmm (No. 69)
Symmetry-distinct sites (fractional):
Li  0.0000  0.0000  0.1673  8 Pd 2.82, 4 Hg 2.89-2.92
Hg  0.0000  0.0000  0.0000  10 Pd 2.84-2.90, 2 Li 2.92
Hg  0.0000  0.0000  0.3327  9 Pd 2.82-2.92, 3 Li 2.89-2.90
Pd  0.0000  0.0000  0.5000  8 Pd 2.84, 4 Hg 2.90-2.92
Pd  0.2500  0.2500  0.0849  4 Hg 2.82-2.84, 2 Li 2.82, 6 Pd 2.84-2.96
Pd  0.2500  0.2500  0.2500  4 Li 2.82, 4 Hg 2.82, 4 Pd 2.88-2.90

Summary:
The crystal system is orthorhombic. As for the energy relative to the elements: -0.292 eV per atom.

---

3.
Below is an optimized crystal structure of SbAsOs2, with properties calculated at the PBE level.

abc: 6.4988 6.4988 6.4988
angles: 90.00 90.00 90.00
With the nearest neighbours (Å) after each atom.
Space group F-43m (No. 216)
Symmetry-distinct sites (fractional):
Sb  0.0000  0.0000  0.0000  4 Os 2.81, 4 As 2.81
As  0.2500  0.2500  0.7500  4 Sb 2.81, 4 Os 2.81
Os  0.0000  0.0000  0.5000  4 As 2.81, 4 Os 2.81
Os  0.2500  0.2500  0.2500  4 Sb 2.81, 4 Os 2.81

Summary:
The crystal system is cubic. The formation energy (no corrections) is 23.10 kcal/mol of atoms.

---

4.
Below is an optimized crystal structure of CeHgGeBi, with properties calculated at the PBE level.

abc: 7.4962 7.4962 7.4962
angles: 90.00 90.00 90.00
With the nearest neighbours (Å) after each atom.
Space group F-43m (No. 216)
Symmetry-distinct sites (fractional):
Ce  0.0000  0.0000  0.0000  4 Ge 3.25, 4 Hg 3.25
Hg  0.2500  0.2500  0.7500  4 Ce 3.25, 4 Bi 3.25
Ge  0.2500  0.2500  0.2500  4 Bi 3.25, 4 Ce 3.25
Bi  0.0000  0.0000  0.5000  4 Ge 3.25, 4 Hg 3.25

Summary:
The crystal system is cubic. As for the energy relative to the elements: -0.229 eV per atom.

---

5.
Below is an optimized crystal structure of Pr6HoIn3, with properties calculated at the PBE level.

abc: 10.8095 15.9254 7.9051
angles: 90.00 90.00 90.00
With the nearest neighbours (Å) after each atom.
Space group Cmc2_1 (No. 36)
Symmetry-distinct sites (fractional):
Pr  0.0000  0.0445  0.0000  1 Ho 3.39, 6 Pr 3.42-3.79, 4 In 3.45-3.51
Pr  0.0000  0.3046  0.8604  3 In 3.45-3.52, 6 Pr 3.65-3.77
Pr  0.2294  0.3136  0.5024  3 In 3.19-3.33, 1 Pr 3.48, 1 Ho 3.49
Pr  0.2380  0.4658  0.8173  4 In 3.31-3.39, 3 Pr 3.42-3.65
Ho  0.0000  0.1963  0.3003  2 In 3.26, 3 Pr 3.39-3.49
In  0.0000  0.4519  0.5397  7 Pr 3.33-3.45
In  0.1402  0.1364  0.6445  1 In 3.03, 4 Pr 3.19-3.33, 1 Ho 3.26

Summary:
The crystal system is orthorhombic. As for the energy relative to the elements: -0.147 eV per atom.

---

6.
Below is an optimized crystal structure of CaHfAs, with properties calculated at the PBE level.

abc: 4.1760 4.1760 7.9835
angles: 90.00 90.00 90.00
With the nearest neighbours (Å) after each atom.
Space group P4/nmm (No. 129, origin choice 2)
Symmetry-distinct sites (fractional):
Ca  0.2500  0.2500  0.1517  5 As 3.05-3.18
Hf  0.2500  0.7500  0.5000  4 As 2.91, 4 Hf 2.95
As  0.2500  0.2500  0.7532  4 Hf 2.91, 5 Ca 3.05-3.18

Summary:
The crystal system is tetragonal. As for the energy relative to the elements: -0.830 eV per atom.

---

7.
Below is an optimized crystal structure of Rb7N12Cl, with properties calculated at the PBE level.

abc: 14.5297 14.5297 7.1762
angles: 90.00 90.00 120.00
With the nearest neighbours (Å) after each atom.
Space group R-3 (No. 148, hexagonal axes)
Symmetry-distinct sites (fractional):
Rb  0.0000  0.0000  0.0000  6 N 3.20
Rb  0.0502  0.2412  0.6650  6 N 2.98-3.23
N  0.0444  0.2448  0.2447  1 N 1.19
N  0.0473  0.2362  0.0806  1 N 1.19
Cl  0.0000  0.0000  0.5000  8 Rb 3.42-3.59, 6 N 3.76

Summary:
The crystal system is trigonal. The formation energy (no corrections) is -5.82 kcal/mol of atoms.

---

| no. | total DFT energy (no corrections) (eV/atom) |
| --- | --- |
| 1 | -6.395 |
| 2 | -3.716 |
| 3 | -6.806 |
| 4 | -3.913 |
| 5 | -4.294 |
| 6 | -6.365 |
| 7 | -5.679 |